# Fe2CoRu

Fe2CoRu after structural relaxation (GGA-PBE, Alexandria).

Cell and atoms, written as extended XYZ:
```
4
Lattice="-2.3131 1.7458 3.3497 -2.0520 -3.6555 -1.4303 1.3664 -1.4273 1.6874" Properties=species:S:1:pos:R:3 pbc="T T T"
Co -0.3428 -2.5414 0.1285
Fe 0.0000 0.0000 0.0000
Fe -2.1825 -0.9548 0.9597
Ru -0.4733 0.1593 2.5186
```

Space group ... Cmmm (65)
Energy of formation from the pure elements ... 60 kJ/mol of formula units
Total magnetization ... 5.66 μB per formula unit